Entry 1:
Density functional theory data (PBE) for an optimized crystal structure of LaNdInNi2.

Cell lengths 3.829, 7.591, 7.591 Å; angles 30.93, 90.00, 90.00 degrees
Fractional coordinates of all 5 atoms:
1 La 0.000 0.000 0.000
2 Nd 0.000 0.273 0.273
3 In 0.500 0.638 0.638
4 Ni 0.500 0.436 0.436
5 Ni 0.500 0.836 0.836

---

Entry 2:
Density functional theory data (PBE) for an optimized crystal structure of LaNdIn2Ni4.

Cell lengths 4.452, 4.452, 9.045 Å; angles 90.00, 90.00, 120.00 degrees
Fractional coordinates of all 8 atoms:
1 La 0.000 0.000 0.000
2 Nd 0.333 0.667 0.500
3 In 0.667 0.333 0.256
4 In 0.667 0.333 0.744
5 Ni 0.000 0.000 0.316
6 Ni 0.000 0.000 0.684
7 Ni 0.333 0.667 0.187
8 Ni 0.333 0.667 0.813

---

Entry 3:
Density functional theory data (PBE) for an optimized crystal structure of LaNdIn4Pd2.

Cell lengths 7.696, 5.810, 5.810 Å; angles 46.75, 90.00, 90.00 degrees
Fractional coordinates of all 8 atoms:
1 La 0.000 0.000 0.000
2 Nd 0.500 0.850 0.850
3 In 0.201 0.287 0.287
4 In 0.303 0.564 0.564
5 In 0.697 0.564 0.564
6 In 0.799 0.287 0.287
7 Pd 0.000 0.715 0.715
8 Pd 0.500 0.136 0.136

---

Entry 4:
Density functional theory data (PBE) for an optimized crystal structure of LaNdIn4Pt2.

Cell lengths 7.767, 5.796, 5.796 Å; angles 46.17, 90.00, 90.00 degrees
Fractional coordinates of all 8 atoms:
1 La 0.000 0.000 0.000
2 Nd 0.500 0.852 0.852
3 In 0.201 0.287 0.287
4 In 0.303 0.566 0.566
5 In 0.697 0.566 0.566
6 In 0.799 0.287 0.287
7 Pt 0.000 0.712 0.712
8 Pt 0.500 0.141 0.141

---

Entry 5:
Density functional theory data (PBE) for an optimized crystal structure of LaNdIn2Pt4.

Cell lengths 4.653, 4.653, 9.355 Å; angles 90.00, 90.00, 120.00 degrees
Fractional coordinates of all 8 atoms:
1 La 0.000 0.000 0.000
2 Nd 0.667 0.333 0.500
3 In 0.333 0.667 0.254
4 In 0.333 0.667 0.746
5 Pt 0.000 0.000 0.340
6 Pt 0.000 0.000 0.660
7 Pt 0.667 0.333 0.166
8 Pt 0.667 0.333 0.834

---

Entry 6:
Density functional theory data (PBE) for an optimized crystal structure of LaNdZn2In2.

Cell lengths 4.766, 4.766, 7.681 Å; angles 90.00, 90.00, 120.00 degrees
Fractional coordinates of all 6 atoms:
1 La 0.000 0.000 0.000
2 Nd 0.000 0.000 0.500
3 Zn 0.333 0.667 0.696
4 Zn 0.667 0.333 0.207
5 In 0.333 0.667 0.281
6 In 0.667 0.333 0.770

---

Number 1: E_tot -25.87 eV/cell, size of the total moment 0.00 μB/f.u.. Number 2: E_tot -40.36 eV/cell, size of the total moment 0.00 μB/f.u.. Number 3: E_tot -36.29 eV/cell, size of the total moment 0.07 μB/f.u.. Number 4: E_tot -38.76 eV/cell, size of the total moment 0.01 μB/f.u.. Number 5: E_tot -46.75 eV/cell, size of the total moment 0.00 μB/f.u.. Number 6: E_tot -20.61 eV/cell, size of the total moment 0.00 μB/f.u..